(1)
# HfZr2Ta

An optimized crystal structure of HfZr2Ta (PBE, the Alexandria database).

Unit cell a=7.7621 b=7.7621 c=5.9220 alpha=90.00 beta=90.00 gamma=90.00
Atoms (fractional coordinates):
Hf1 0.0000 0.0000 0.0000
Hf2 0.0000 0.5000 0.2500
Hf3 0.5000 0.0000 0.7500
Hf4 0.5000 0.5000 0.5000
Zr1 0.2401 0.2500 0.6250
Zr2 0.2500 0.7401 0.8750
Zr3 0.2500 0.7599 0.3750
Zr4 0.2599 0.2500 0.1250
Zr5 0.7401 0.7500 0.1250
Zr6 0.7500 0.2401 0.3750
Zr7 0.7500 0.2599 0.8750
Zr8 0.7599 0.7500 0.6250
Ta1 0.0000 0.0000 0.5000
Ta2 0.0000 0.5000 0.7500
Ta3 0.5000 0.0000 0.2500
Ta4 0.5000 0.5000 0.0000

Values from the calculation:
Symmetry ... I-42d
Energy above the lowest structure with this stoichiometry ... 479.6 meV per atom
Crystal system ... tetragonal

---

(2)
# NbMoC3

An optimized crystal structure of NbMoC3 (PBE, the Alexandria database).

Unit cell a=3.9749 b=3.9749 c=3.9749 alpha=90.00 beta=90.00 gamma=90.00
Atoms (fractional coordinates):
Nb1 0.0000 0.0000 0.0000
Mo1 0.5000 0.5000 0.5000
C1 0.0000 0.5000 0.5000
C2 0.5000 0.0000 0.5000
C3 0.5000 0.5000 0.0000

Values from the calculation:
Symmetry ... Pm-3m
Energy above the lowest structure with this stoichiometry ... 0.0 meV per atom
Crystal system ... cubic

---

(3)
# LiLuMgZr

An optimized crystal structure of LiLuMgZr (PBE, the Alexandria database).

Unit cell a=7.1244 b=7.1244 c=7.1244 alpha=90.00 beta=90.00 gamma=90.00
Atoms (fractional coordinates):
Li1 0.0000 0.0000 0.0000
Li2 0.0000 0.5000 0.5000
Li3 0.5000 0.0000 0.5000
Li4 0.5000 0.5000 0.0000
Lu1 0.2500 0.2500 0.2500
Lu2 0.2500 0.7500 0.7500
Lu3 0.7500 0.2500 0.7500
Lu4 0.7500 0.7500 0.2500
Mg1 0.0000 0.0000 0.5000
Mg2 0.0000 0.5000 0.0000
Mg3 0.5000 0.0000 0.0000
Mg4 0.5000 0.5000 0.5000
Zr1 0.2500 0.2500 0.7500
Zr2 0.2500 0.7500 0.2500
Zr3 0.7500 0.2500 0.2500
Zr4 0.7500 0.7500 0.7500

Values from the calculation:
Symmetry ... F-43m
Crystal system ... cubic

---

In the order shown, the computed total DFT energy (no corrections) values come out to -145.76; -39.95; -63.34 eV per cell.